HfFeCo2O6 after structural relaxation, computed with PBE with a Hubbard U.

```
data_HfFeCo2O6
_symmetry_space_group_name_H-M 'R 3'
_symmetry_Int_Tables_number 146
_symmetry_space_group_name_Hall 'R 3'
_cell_length_a 5.1269
_cell_length_b 5.1269
_cell_length_c 13.9830
_cell_angle_alpha 90.00
_cell_angle_beta 90.00
_cell_angle_gamma 120.00
loop_
_atom_site_label
_atom_site_type_symbol
_atom_site_fract_x
_atom_site_fract_y
_atom_site_fract_z
Hf1 Hf 0.0000 0.0000 0.0000
Fe1 Fe 0.0000 0.0000 0.5100
Co1 Co 0.0000 0.0000 0.2005
Co2 Co 0.0000 0.0000 0.7180
O1 O 0.0088 0.7104 0.1123
O2 O 0.0308 0.3436 0.2722
```

- E_tot (eV/atom) = -7.3800
- density of states at the Fermi level (states/eV per cell) = 0.0